The following is a PBE-GGA calculation of crystalline AlSbAs2 at its relaxed geometry, from Alexandria.

Computed properties:
**N(E_F)**: 2.080 states/eV per cell
**Formation energy from raw total energies**: 0.2080 eV/atom
**VASP energy**: -4.0830 eV/atom

Unit cell a=3.460 b=3.460 c=6.779 alpha=90.00 beta=90.00 gamma=90.00
Space group P4/mmm (No. 123)
Inequivalent atoms, fractional coordinates:
Al  0.000  0.000  0.000
Sb  0.000  0.000  0.500
As  0.500  0.500  0.203